1.
# PBE-GGA Zn8PdAu5, optimized geometry
data_Zn8PdAu5
_cell_length_a 7.821
_cell_length_b 7.821
_cell_length_c 7.692
_cell_angle_alpha 90.00
_cell_angle_beta 90.00
_cell_angle_gamma 90.00
_symmetry_space_group_name_H-M 'I -4'
_symmetry_Int_Tables_number 82
loop_
_symmetry_equiv_pos_as_xyz
'x,y,z'
'y,-x,-z'
'-x,-y,z'
'-y,x,-z'
'x+1/2,y+1/2,z+1/2'
'y+1/2,-x+1/2,-z+1/2'
'-x+1/2,-y+1/2,z+1/2'
'-y+1/2,x+1/2,-z+1/2'
loop_
_atom_site_label
_atom_site_type_symbol
_atom_site_fract_x
_atom_site_fract_y
_atom_site_fract_z
Zn1 Zn 0.069 0.162 0.304
Zn2 Zn 0.096 0.318 0.978
Pd1 Pd 0.000 0.000 0.000
Au1 Au 0.000 0.500 0.250
Au2 Au 0.117 0.275 0.636
# ΔE_f in meV/atom: -174



2.
# PBE-GGA Zr2UNbN4, optimized geometry
data_Zr2UNbN4
_cell_length_a 5.570
_cell_length_b 3.298
_cell_length_c 5.726
_cell_angle_alpha 90.00
_cell_angle_beta 109.09
_cell_angle_gamma 90.00
_symmetry_space_group_name_H-M 'P 1 2/m 1'
_symmetry_Int_Tables_number 10
loop_
_symmetry_equiv_pos_as_xyz
'x,y,z'
'-x,-y,-z'
'-x,y,-z'
'x,-y,z'
loop_
_atom_site_label
_atom_site_type_symbol
_atom_site_fract_x
_atom_site_fract_y
_atom_site_fract_z
Zr1 Zr 0.000 0.000 0.000
Zr2 Zr 0.500 0.500 0.000
U1 U 0.000 0.500 0.500
Nb1 Nb 0.500 0.000 0.500
N1 N 0.250 0.500 0.251
N2 N 0.254 0.000 0.755
# Energy relative to the elements, uncorrected in eV per atom: -1.4588



3.
VASP calculation (PBE-GGA) on a geometry-optimized Sr2HgH structure.

CIF file:
```
data_Sr2HgH
_cell_length_a 4.1789
_cell_length_b 4.1789
_cell_length_c 22.9912
_cell_angle_alpha 90.00
_cell_angle_beta 90.00
_cell_angle_gamma 120.00
_symmetry_space_group_name_H-M 'R -3 m'
_symmetry_Int_Tables_number 166
_symmetry_space_group_name_Hall '-R 3 2"'
loop_
_atom_site_label
_atom_site_type_symbol
_atom_site_fract_x
_atom_site_fract_y
_atom_site_fract_z
Sr1 Sr 0.0000 0.0000 0.2348
Hg1 Hg 0.0000 0.0000 0.0000
H1 H 0.0000 0.0000 0.5000
```



4.
# PBE-GGA DyAl2CuPd4, optimized geometry
data_DyAl2CuPd4
_cell_length_a 4.3452
_cell_length_b 4.3452
_cell_length_c 24.2658
_cell_angle_alpha 90.00
_cell_angle_beta 90.00
_cell_angle_gamma 120.00
_symmetry_space_group_name_H-M 'R -3 m'
_symmetry_Int_Tables_number 166
_symmetry_space_group_name_Hall '-R 3 2"'
loop_
_atom_site_label
_atom_site_type_symbol
_atom_site_fract_x
_atom_site_fract_y
_atom_site_fract_z
Dy1 Dy 0.0000 0.0000 0.0000
Al1 Al 0.0000 0.0000 0.2369
Cu1 Cu 0.0000 0.0000 0.5000
Pd1 Pd 0.0000 0.0000 0.1271
Pd2 Pd 0.0000 0.0000 0.3960
# ΔE_f in meV/atom: -729



5.
# PBE-GGA Te2RuRh2, optimized geometry
data_Te2RuRh2
_cell_length_a 4.809
_cell_length_b 4.809
_cell_length_c 4.985
_cell_angle_alpha 90.00
_cell_angle_beta 90.00
_cell_angle_gamma 90.00
_symmetry_space_group_name_H-M 'P 4/m m m'
_symmetry_Int_Tables_number 123
_symmetry_space_group_name_Hall '-P 4 2'
loop_
_atom_site_label
_atom_site_type_symbol
_atom_site_fract_x
_atom_site_fract_y
_atom_site_fract_z
Te1 Te 0.000 0.000 0.000
Te2 Te 0.500 0.500 0.000
Ru1 Ru 0.000 0.000 0.500
Rh1 Rh 0.000 0.500 0.500
# Energy relative to the elements, uncorrected in eV per atom: 0.9562



6.
# PBE-GGA PaMn4Tc, optimized geometry
data_PaMn4Tc
_cell_length_a 6.959
_cell_length_b 6.959
_cell_length_c 6.959
_cell_angle_alpha 90.00
_cell_angle_beta 90.00
_cell_angle_gamma 90.00
_symmetry_space_group_name_H-M 'F -4 3 m'
_symmetry_Int_Tables_number 216
_symmetry_space_group_name_Hall 'F -4 2 3'
loop_
_atom_site_label
_atom_site_type_symbol
_atom_site_fract_x
_atom_site_fract_y
_atom_site_fract_z
Pa1 Pa 0.000 0.000 0.000
Mn1 Mn 0.124 0.124 0.624
Tc1 Tc 0.250 0.250 0.250
# ΔE_f in meV/atom: 107



| no. | total energy (eV/atom) |
| --- | --- |
| 1 | -2.443 |
| 2 | -10.428 |
| 3 | -2.072 |
| 4 | -5.348 |
| 5 | -5.096 |
| 6 | -9.316 |